DFT (PBE) results for a relaxed structure of BeZnTe2S.

CIF file:
```
data_BeZnTe2S
_chemical_formula_sum 'Be1 Zn1 Te2 S1'
_cell_length_a 3.273
_cell_length_b 3.745
_cell_length_c 10.569
_cell_angle_alpha 80.07
_cell_angle_beta 81.25
_cell_angle_gamma 90.00
_symmetry_space_group_name_H-M 'P 1'
_symmetry_Int_Tables_number 1
loop_
_symmetry_equiv_pos_as_xyz
'x,y,z'
loop_
_atom_site_label
_atom_site_fract_x
_atom_site_fract_y
_atom_site_fract_z
Be1 0.000 0.000 0.000
Zn1 0.625 0.625 0.744
Te1 0.228 0.724 0.535
Te2 0.924 0.424 0.155
S1 0.560 0.060 0.878
```

Properties
E (eV per atom): -3.491
V (Å³ per cell): 126.1
Polymorph energy (0 for the lowest one) (eV/atom): 0.000
Raw formation energy (eV/atom): -0.4089
Size of the total moment (μB/f.u.): 0.000

---

DFT (PBE) results for a relaxed structure of Rb3TlO4.

CIF file:
```
data_Rb3TlO4
_chemical_formula_sum 'Rb6 Tl2 O8'
_cell_length_a 6.568
_cell_length_b 11.079
_cell_length_c 5.453
_cell_angle_alpha 90.00
_cell_angle_beta 90.00
_cell_angle_gamma 90.00
_symmetry_space_group_name_H-M 'I m m 2'
_symmetry_Int_Tables_number 44
loop_
_symmetry_equiv_pos_as_xyz
'x,y,z'
'-x,-y,z'
'-x,y,z'
'x,-y,z'
'x+1/2,y+1/2,z+1/2'
'-x+1/2,-y+1/2,z+1/2'
'-x+1/2,y+1/2,z+1/2'
'x+1/2,-y+1/2,z+1/2'
loop_
_atom_site_label
_atom_site_fract_x
_atom_site_fract_y
_atom_site_fract_z
Rb1 0.000 0.000 0.000
Rb2 0.000 0.236 0.501
Tl1 0.000 0.500 0.001
O1 0.000 0.320 0.001
O2 0.115 0.000 0.500
```

Properties
E (eV per atom): -4.005
V (Å³ per cell): 396.8
Raw formation energy (eV/atom): -0.8668
Size of the total moment (μB/f.u.): 0.061

---

DFT (PBE) results for a relaxed structure of KNbCdFeBr.

CIF file:
```
data_KNbCdFeBr
_chemical_formula_sum 'K1 Nb1 Cd1 Fe1 Br1'
_cell_length_a 3.398
_cell_length_b 3.398
_cell_length_c 10.060
_cell_angle_alpha 90.00
_cell_angle_beta 90.00
_cell_angle_gamma 90.00
_symmetry_space_group_name_H-M 'P 4 m m'
_symmetry_Int_Tables_number 99
loop_
_symmetry_equiv_pos_as_xyz
'x,y,z'
'-y,x,z'
'-x,-y,z'
'y,-x,z'
'-x,y,z'
'y,x,z'
'x,-y,z'
'-y,-x,z'
loop_
_atom_site_label
_atom_site_fract_x
_atom_site_fract_y
_atom_site_fract_z
K1 0.000 0.000 0.000
Nb1 0.000 0.000 0.466
Cd1 0.500 0.500 0.282
Fe1 0.500 0.500 0.563
Br1 0.500 0.500 0.802
```

Properties
E (eV per atom): -4.455
V (Å³ per cell): 116.2
Polymorph energy (0 for the lowest one) (eV/atom): 0.061
Raw formation energy (eV/atom): -0.0115
Size of the total moment (μB/f.u.): 0.851

---

DFT (PBE) results for a relaxed structure of Ac2EuPd.

CIF file:
```
data_Ac2EuPd
_chemical_formula_sum 'Ac6 Eu3 Pd3'
_cell_length_a 3.8324
_cell_length_b 3.8324
_cell_length_c 36.1072
_cell_angle_alpha 90.00
_cell_angle_beta 90.00
_cell_angle_gamma 120.00
_symmetry_space_group_name_H-M 'R -3 m'
_symmetry_Int_Tables_number 166
_symmetry_space_group_name_Hall '-R 3 2"'
loop_
_atom_site_label
_atom_site_fract_x
_atom_site_fract_y
_atom_site_fract_z
Ac1 0.0000 0.0000 0.0765
Eu1 0.0000 0.0000 0.5000
Pd1 0.0000 0.0000 0.0000
```

Properties
E (eV per atom): -5.761
V (Å³ per cell): 459.3
Formation energy (kJ per mole of atoms): 15.5
Polymorph energy (0 for the lowest one) (eV/atom): 0.486
Size of the total moment (μB/f.u.): 7.810

---

DFT (PBE) results for a relaxed structure of Ga2AsSI.

CIF file:
```
data_Ga2AsSI
_chemical_formula_sum 'Ga2 As1 S1 I1'
_cell_length_a 5.988
_cell_length_b 5.988
_cell_length_c 5.126
_cell_angle_alpha 90.00
_cell_angle_beta 90.00
_cell_angle_gamma 90.00
_symmetry_space_group_name_H-M 'P 4/m m m'
_symmetry_Int_Tables_number 123
_symmetry_space_group_name_Hall '-P 4 2'
loop_
_atom_site_label
_atom_site_fract_x
_atom_site_fract_y
_atom_site_fract_z
Ga1 0.000 0.500 0.000
As1 0.000 0.000 0.500
S1 0.500 0.500 0.500
I1 0.500 0.500 0.000
```

Properties
E (eV per atom): -2.409
V (Å³ per cell): 183.8
Raw formation energy (eV/atom): 0.8673
Size of the total moment (μB/f.u.): 2.054

---

DFT (PBE) results for a relaxed structure of LaNdCdAu.

CIF file:
```
data_LaNdCdAu
_chemical_formula_sum 'La1 Nd1 Cd1 Au1'
_cell_length_a 3.821
_cell_length_b 3.821
_cell_length_c 7.642
_cell_angle_alpha 90.00
_cell_angle_beta 90.00
_cell_angle_gamma 90.00
_symmetry_space_group_name_H-M 'P 4 m m'
_symmetry_Int_Tables_number 99
loop_
_symmetry_equiv_pos_as_xyz
'x,y,z'
'-y,x,z'
'-x,-y,z'
'y,-x,z'
'-x,y,z'
'y,x,z'
'x,-y,z'
'-y,-x,z'
loop_
_atom_site_label
_atom_site_fract_x
_atom_site_fract_y
_atom_site_fract_z
La1 0.000 0.000 0.000
Nd1 0.000 0.000 0.530
Cd1 0.500 0.500 0.273
Au1 0.500 0.500 0.755
```

Properties
E (eV per atom): -4.017
V (Å³ per cell): 111.6
Formation energy (kJ per mole of atoms): -52.6
Polymorph energy (0 for the lowest one) (eV/atom): 0.000
Size of the total moment (μB/f.u.): 0.000

---

DFT (PBE) results for a relaxed structure of Tl2VAgBr6.

CIF file:
```
data_Tl2VAgBr6
_chemical_formula_sum 'Tl2 V1 Ag1 Br6'
_cell_length_a 7.373
_cell_length_b 7.426
_cell_length_c 7.527
_cell_angle_alpha 117.79
_cell_angle_beta 118.97
_cell_angle_gamma 90.60
_symmetry_space_group_name_H-M 'P -1'
_symmetry_Int_Tables_number 2
loop_
_symmetry_equiv_pos_as_xyz
'x,y,z'
'-x,-y,-z'
loop_
_atom_site_label
_atom_site_fract_x
_atom_site_fract_y
_atom_site_fract_z
Tl1 0.239 0.264 0.001
V1 0.000 0.500 0.500
Ag1 0.500 0.000 0.500
Br1 0.199 0.817 0.541
Br2 0.206 0.699 0.962
Br3 0.301 0.327 0.509
```

Properties
E (eV per atom): -3.397
V (Å³ per cell): 303.7
Raw formation energy (eV/atom): -0.7232
Size of the total moment (μB/f.u.): 2.000

---

DFT (PBE) results for a relaxed structure of MgAg3Pd2.

CIF file:
```
data_MgAg3Pd2
_chemical_formula_sum 'Mg2 Ag6 Pd4'
_cell_length_a 4.977
_cell_length_b 6.522
_cell_length_c 7.039
_cell_angle_alpha 112.04
_cell_angle_beta 91.16
_cell_angle_gamma 105.14
_symmetry_space_group_name_H-M 'P -1'
_symmetry_Int_Tables_number 2
loop_
_symmetry_equiv_pos_as_xyz
'x,y,z'
'-x,-y,-z'
loop_
_atom_site_label
_atom_site_fract_x
_atom_site_fract_y
_atom_site_fract_z
Mg1 0.129 0.111 0.353
Ag1 0.036 0.375 0.789
Ag2 0.295 0.630 0.543
Ag3 0.375 0.370 0.119
Pd1 0.212 0.878 0.958
Pd2 0.440 0.121 0.700
```

Properties
E (eV per atom): -3.649
V (Å³ per cell): 202.6
Formation energy (kJ per mole of atoms): -21.9
Size of the total moment (μB/f.u.): 0.000